! Ac2BeRhO6, relaxed, DFT GGA-PBE; values from VASP
&SYSTEM
  ibrav = 0, nat = 20, ntyp = 4
/
ATOMIC_SPECIES
O 16.00 O.upf
Ac 227.00 Ac.upf
Be 9.01 Be.upf
Rh 102.91 Rh.upf
ATOMIC_POSITIONS angstrom
O 6.951 4.013 5.873
Ac 2.762 1.595 1.636
Ac 2.762 1.595 5.865
O 5.524 1.630 1.262
O 4.174 3.969 1.262
O 6.951 2.365 3.668
Ac 8.286 4.784 7.905
O 5.524 4.837 3.668
Be 5.524 3.189 1.465
Rh 0.000 0.000 0.000
Be 5.524 3.189 8.076
O 6.874 2.410 8.279
O 4.097 2.365 3.668
O 5.524 4.748 8.279
O 4.097 4.013 5.873
O 4.174 2.410 8.279
O 6.874 3.969 1.262
O 5.524 1.541 5.873
Rh 5.524 3.189 4.771
Ac 8.286 4.784 3.676
CELL_PARAMETERS angstrom
5.524 0.000 0.000
2.762 4.784 0.000
2.762 1.595 9.541
! Uncorrected formation energy, eV/atom: -2.380